No. 1
The following is a DFT calculation (GGA+U) of a geometry-optimized Tl2ZnNi3F12 structure.

As for the crystal system: trigonal.

It has space group R-3m (No. 166, hexagonal axes), with a = 7.2495 Å, b = 7.2495 Å, c = 17.7171 Å, α = 90.00°, β = 90.00° and γ = 120.00°. The asymmetric unit holds Tl at (0.0000, 0.0000, 0.1249), Zn at (0.0000, 0.0000, 0.5000), Ni at (0.0000, 0.5000, 0.0000), F at (0.0605, 0.5303, 0.1069) and F at (0.0718, 0.5359, 0.3536).

---

No. 2
The following is a DFT calculation (GGA+U) of a geometry-optimized TlZnNiF2 structure.

As for the crystal system: tetragonal.

It has space group P4/mmm (No. 123), with a = 4.0488 Å, b = 4.0488 Å, c = 5.2063 Å, α = 90.00°, β = 90.00° and γ = 90.00°. The asymmetric unit holds Tl at (0.0000, 0.0000, 0.0000), Zn at (0.5000, 0.5000, 0.0000), Ni at (0.5000, 0.5000, 0.5000) and F at (0.0000, 0.5000, 0.5000).

---

No. 3
The following is a DFT calculation (GGA+U) of a geometry-optimized Tl2ZnNiF6 structure.

As for the crystal system: trigonal.

It has space group R-3m (No. 166, hexagonal axes), with a = 5.9928 Å, b = 5.9928 Å, c = 29.8488 Å, α = 90.00°, β = 90.00° and γ = 120.00°. The asymmetric unit holds Tl at (0.0000, 0.0000, 0.1260), Tl at (0.0000, 0.0000, 0.2859), Zn at (0.0000, 0.0000, 0.0000), Zn at (0.0000, 0.0000, 0.5000), Ni at (0.0000, 0.0000, 0.4079), F at (0.0022, 0.5011, 0.7063) and F at (0.0350, 0.5175, 0.1209).

---

No. 4
The following is a DFT calculation (GGA+U) of a geometry-optimized Tm2NiF8 structure.

As for the crystal system: monoclinic.

It has space group C2/m (No. 12), with a = 9.2874 Å, b = 6.9531 Å, c = 4.6651 Å, α = 90.00°, β = 108.04° and γ = 90.00°. The asymmetric unit holds Tm at (0.1759, 0.0000, 0.3954), Ni at (0.0000, 0.5000, 0.0000), F at (0.0762, 0.0000, 0.7861), F at (0.1384, 0.5000, 0.7637) and F at (0.1475, 0.3064, 0.2700).

---

No. 5
The following is a DFT calculation (GGA+U) of a geometry-optimized TmNiF5 structure.

As for the crystal system: monoclinic.

It has space group C2/c (No. 15), with a = 8.9202 Å, b = 6.5678 Å, c = 7.4637 Å, α = 90.00°, β = 114.42° and γ = 90.00°. The asymmetric unit holds Tm at (0.0000, 0.0534, 0.2500), Ni at (0.0000, 0.5000, 0.0000), F at (0.0000, 0.3904, 0.2500), F at (0.0101, 0.1869, 0.9639) and F at (0.2424, 0.4733, 0.6261).

---

No. 6
The following is a DFT calculation (GGA+U) of a geometry-optimized V3NiF structure.

As for the energy above the most stable polymorph in this dataset: 0 meV per atom. As for the crystal system: cubic.

It has space group Pm-3m (No. 221), with a = 4.3040 Å, b = 4.3040 Å, c = 4.3040 Å, α = 90.00°, β = 90.00° and γ = 90.00°. The asymmetric unit holds V at (0.0000, 0.0000, 0.5000), Ni at (0.5000, 0.5000, 0.5000) and F at (0.0000, 0.0000, 0.0000).

---

No. 7
The following is a DFT calculation (GGA+U) of a geometry-optimized VNi3F structure.

As for the energy above the most stable polymorph in this dataset: 1391 meV per atom. As for the crystal system: cubic.

It has space group Pm-3m (No. 221), with a = 4.3900 Å, b = 4.3900 Å, c = 4.3900 Å, α = 90.00°, β = 90.00° and γ = 90.00°. The asymmetric unit holds V at (0.0000, 0.0000, 0.0000), Ni at (0.0000, 0.0000, 0.5000) and F at (0.5000, 0.5000, 0.5000).

---

No. 8
The following is a DFT calculation (GGA+U) of a geometry-optimized VNiF structure.

As for the crystal system: orthorhombic.

It has space group Amm2 (No. 38), with a = 12.3464 Å, b = 2.8696 Å, c = 4.8573 Å, α = 90.00°, β = 90.00° and γ = 90.00°. The asymmetric unit holds V at (0.0000, 0.0000, 0.0000), V at (0.5000, 0.0000, 0.1367), Ni at (0.3375, 0.0000, 0.7957) and F at (0.1088, 0.0000, 0.3347).

---

No. 9
The following is a DFT calculation (GGA+U) of a geometry-optimized V2Ni2F structure.

As for the energy above the most stable polymorph in this dataset: 0 meV per atom. As for the crystal system: tetragonal.

It has space group P4/mbm (No. 127), with a = 5.9077 Å, b = 5.9077 Å, c = 4.3881 Å, α = 90.00°, β = 90.00° and γ = 90.00°. The asymmetric unit holds V at (0.1680, 0.3320, 0.0000), Ni at (0.1440, 0.6440, 0.5000) and F at (0.0000, 0.0000, 0.0000).

---

No. 10
The following is a DFT calculation (GGA+U) of a geometry-optimized V2Ni2F structure.

As for the energy above the most stable polymorph in this dataset: 294 meV per atom. As for the crystal system: tetragonal.

It has space group I4/mmm (No. 139), with a = 3.3179 Å, b = 3.3179 Å, c = 13.6407 Å, α = 90.00°, β = 90.00° and γ = 90.00°. The asymmetric unit holds V at (0.0000, 0.0000, 0.1054), Ni at (0.0000, 0.5000, 0.2500) and F at (0.0000, 0.0000, 0.5000).

---

Number 1: E_tot -3.937 eV/atom. Number 2: E_tot -2.986 eV/atom. Number 3: E_tot -4.044 eV/atom. Number 4: E_tot -6.009 eV/atom. Number 5: E_tot -5.641 eV/atom. Number 6: E_tot -4.531 eV/atom. Number 7: E_tot -1.458 eV/atom. Number 8: E_tot -4.170 eV/atom. Number 9: E_tot -3.888 eV/atom. Number 10: E_tot -3.594 eV/atom.